# 1
Below is TeBr2Cl after structural relaxation, with properties calculated at the PBE-GGA level.

Cell and atoms, written as extended XYZ:
```
4
Lattice="4.139 0.393 -1.352 -1.179 4.698 -2.210 -0.541 0.413 7.541" Properties=species:S:1:pos:R:3 pbc="T T T"
Te 2.059 0.239 -0.695
Br 0.169 0.891 1.680
Br 2.226 4.699 2.261
Cl 0.930 3.000 5.738
```

Results
Formation energy without anion corrections   -0.30 eV/atom
Excess energy over the best structure of this formula in the dataset   0.034 eV per atom


# 2
Below is TeBr2Cl after structural relaxation, with properties calculated at the PBE-GGA level.

Cell and atoms, written as extended XYZ:
```
4
Lattice="4.195 0.000 0.000 0.000 3.738 -0.198 0.000 -1.206 7.814" Properties=species:S:1:pos:R:3 pbc="T T T"
Br 0.000 1.552 3.874
Br 0.000 2.247 7.550
Cl 2.098 0.633 1.904
Te 2.098 1.899 5.712
```

Results
Formation energy without anion corrections   0.00 eV/atom
Excess energy over the best structure of this formula in the dataset   0.341 eV per atom


# 3
Below is Te2BrCl after structural relaxation, with properties calculated at the PBE-GGA level.

Cell and atoms, written as extended XYZ:
```
4
Lattice="4.719 0.000 0.000 0.000 4.648 0.000 0.000 0.000 4.648" Properties=species:S:1:pos:R:3 pbc="T T T"
Te 0.000 0.000 0.000
Br 2.359 2.324 0.000
Cl 2.359 0.000 2.324
Te 0.000 2.324 2.324
```

Results
Formation energy without anion corrections   0.27 eV/atom
Excess energy over the best structure of this formula in the dataset   0.526 eV per atom


# 4
Below is Te2BrCl after structural relaxation, with properties calculated at the PBE-GGA level.

Cell and atoms, written as extended XYZ:
```
4
Lattice="6.403 0.030 -0.075 4.656 4.395 -0.075 -1.766 -0.707 4.439" Properties=species:S:1:pos:R:3 pbc="T T T"
Te 4.681 1.873 2.161
Br 2.323 0.930 1.072
Cl 6.969 2.789 3.217
Te 9.258 3.705 4.273
```

Results
Formation energy without anion corrections   -0.09 eV/atom
Excess energy over the best structure of this formula in the dataset   0.176 eV per atom


# 5
Below is Te2BrCl after structural relaxation, with properties calculated at the PBE-GGA level.

Cell and atoms, written as extended XYZ:
```
4
Lattice="-0.760 1.733 3.153 -1.409 -3.250 -0.985 7.491 -4.554 4.308" Properties=species:S:1:pos:R:3 pbc="T T T"
Te 3.774 -2.295 2.171
Te 7.462 -4.537 4.291
Br 0.788 -1.897 2.161
Cl 4.534 -4.174 4.315
```

Results
Formation energy without anion corrections   0.15 eV/atom
Excess energy over the best structure of this formula in the dataset   0.414 eV per atom


# 6
Below is TeBr2Cl after structural relaxation, with properties calculated at the PBE-GGA level.

Cell and atoms, written as extended XYZ:
```
4
Lattice="-2.285 -4.812 3.770 3.141 -2.436 5.175 -1.962 -0.706 8.769" Properties=species:S:1:pos:R:3 pbc="T T T"
Br 0.290 -6.622 10.073
Te -0.125 -3.017 5.582
Br -1.032 -5.029 12.484
Cl 0.065 -4.512 7.375
```

Results
Formation energy without anion corrections   -0.24 eV/atom
Excess energy over the best structure of this formula in the dataset   0.101 eV per atom


# 7
Below is TeBr2Cl after structural relaxation, with properties calculated at the PBE-GGA level.

Cell and atoms, written as extended XYZ:
```
4
Lattice="-1.755 2.532 2.741 1.732 -2.131 3.077 6.897 5.134 -0.327" Properties=species:S:1:pos:R:3 pbc="T T T"
Te 4.031 3.210 2.717
Br 0.122 0.091 -0.006
Br 2.069 1.750 2.810
Cl 4.099 3.051 -0.195
```

Results
Formation energy without anion corrections   0.12 eV/atom
Excess energy over the best structure of this formula in the dataset   0.461 eV per atom


# 8
Below is TeBr2Cl after structural relaxation, with properties calculated at the PBE-GGA level.

Cell and atoms, written as extended XYZ:
```
8
Lattice="6.130 0.000 0.000 0.000 6.130 0.000 3.065 3.065 8.368" Properties=species:S:1:pos:R:3 pbc="T T T"
Cl 3.065 3.065 0.000
Br 7.663 8.224 6.276
Br 4.598 4.037 6.276
Cl 3.065 6.130 4.184
Te 0.000 0.000 0.000
Br 5.158 1.533 2.092
Te 6.130 3.065 4.184
Br 0.972 4.598 2.092
```

Results
Formation energy without anion corrections   0.20 eV/atom
Excess energy over the best structure of this formula in the dataset   0.540 eV per atom


# 9
Below is Te2BrCl after structural relaxation, with properties calculated at the PBE-GGA level.

Cell and atoms, written as extended XYZ:
```
4
Lattice="6.383 -0.045 0.020 2.681 5.793 -0.020 -3.837 -3.970 3.203" Properties=species:S:1:pos:R:3 pbc="T T T"
Te 8.889 5.637 0.000
Te 3.897 -0.344 1.612
Br 4.793 3.040 0.000
Cl 1.243 2.066 1.592
```

Results
Formation energy without anion corrections   0.00 eV/atom
Excess energy over the best structure of this formula in the dataset   0.259 eV per atom


# 10
Below is Te2BrCl after structural relaxation, with properties calculated at the PBE-GGA level.

Cell and atoms, written as extended XYZ:
```
4
Lattice="5.628 0.000 0.000 0.000 5.628 0.000 0.000 0.000 3.316" Properties=species:S:1:pos:R:3 pbc="T T T"
Te 2.814 2.814 0.000
Br 2.814 0.000 1.658
Te 0.000 0.000 0.000
Cl 0.000 2.814 1.658
```

Results
Formation energy without anion corrections   0.41 eV/atom
Excess energy over the best structure of this formula in the dataset   0.673 eV per atom


# 11
Below is TeBr2Cl after structural relaxation, with properties calculated at the PBE-GGA level.

Cell and atoms, written as extended XYZ:
```
4
Lattice="-0.024 1.276 4.272 3.255 -2.914 0.889 3.388 3.473 -1.019" Properties=species:S:1:pos:R:3 pbc="T T T"
Te 3.321 0.279 -0.065
Cl 1.682 2.375 1.627
Br 1.616 -0.819 2.580
Br 0.000 0.000 0.000
```

Results
Formation energy without anion corrections   0.36 eV/atom
Excess energy over the best structure of this formula in the dataset   0.701 eV per atom


# 12
Below is TeBr4Cl after structural relaxation, with properties calculated at the PBE-GGA level.

Cell and atoms, written as extended XYZ:
```
6
Lattice="-1.473 -5.644 -2.093 0.081 -4.852 3.854 -5.318 -2.661 1.743" Properties=species:S:1:pos:R:3 pbc="T T T"
Cl -5.033 -9.868 2.629
Br -2.516 -4.933 1.314
Te 0.000 0.000 0.000
Br -3.253 -7.757 0.267
Br -2.476 -7.361 3.242
Br -5.177 -6.265 2.186
```

Results
Formation energy without anion corrections   0.69 eV/atom


# 13
Below is TeBr2Cl after structural relaxation, with properties calculated at the PBE-GGA level.

Cell and atoms, written as extended XYZ:
```
4
Lattice="-2.230 -2.436 -0.308 1.891 -1.440 -2.314 4.958 -5.483 7.466" Properties=species:S:1:pos:R:3 pbc="T T T"
Cl 2.821 -3.119 4.247
Br 4.676 -5.171 7.041
Br 1.013 -3.245 0.469
Te 3.547 -6.048 4.286
```

Results
Formation energy without anion corrections   0.30 eV/atom
Excess energy over the best structure of this formula in the dataset   0.641 eV per atom


# 14
Below is TeBr2Cl after structural relaxation, with properties calculated at the PBE-GGA level.

Cell and atoms, written as extended XYZ:
```
4
Lattice="-2.603 -1.899 -0.537 0.416 -1.866 4.576 -5.244 6.324 3.055" Properties=species:S:1:pos:R:3 pbc="T T T"
Te -4.156 1.811 3.804
Br -0.101 0.121 0.059
Cl -3.098 3.736 1.805
Br -2.699 0.054 2.955
```

Results
Formation energy without anion corrections   0.05 eV/atom
Excess energy over the best structure of this formula in the dataset   0.390 eV per atom


# 15
Below is Te2BrCl after structural relaxation, with properties calculated at the PBE-GGA level.

Cell and atoms, written as extended XYZ:
```
4
Lattice="4.214 0.000 0.000 0.000 6.068 -0.143 0.000 -0.068 6.208" Properties=species:S:1:pos:R:3 pbc="T T T"
Te 0.000 2.384 3.722
Te 0.000 0.548 5.518
Cl 2.107 4.500 4.549
Br 2.107 1.500 1.516
```

Results
Formation energy without anion corrections   -0.07 eV/atom
Excess energy over the best structure of this formula in the dataset   0.192 eV per atom


# 16
Below is Te2BrCl after structural relaxation, with properties calculated at the PBE-GGA level.

Cell and atoms, written as extended XYZ:
```
4
Lattice="3.215 0.000 0.000 0.000 4.827 0.000 0.000 0.000 7.444" Properties=species:S:1:pos:R:3 pbc="T T T"
Br 1.608 2.413 1.861
Te 0.000 0.000 6.968
Cl 1.608 2.413 5.583
Te 0.000 0.000 4.198
```

Results
Formation energy without anion corrections   0.21 eV/atom
Excess energy over the best structure of this formula in the dataset   0.467 eV per atom


# 17
Below is Te2BrCl after structural relaxation, with properties calculated at the PBE-GGA level.

Cell and atoms, written as extended XYZ:
```
4
Lattice="-0.095 -1.852 -3.944 -1.764 -3.904 -0.803 -8.529 2.197 -3.096" Properties=species:S:1:pos:R:3 pbc="T T T"
Te -1.906 -5.339 -4.500
Te -2.331 -0.815 -1.771
Br -4.777 -2.297 -4.038
Cl -8.426 -2.642 -6.202
```

Results
Formation energy without anion corrections   -0.26 eV/atom
Excess energy over the best structure of this formula in the dataset   0.000 eV per atom


# 18
Below is TeBr2Cl after structural relaxation, with properties calculated at the PBE-GGA level.

Cell and atoms, written as extended XYZ:
```
4
Lattice="-1.905 -6.501 -0.061 1.808 -5.912 -2.769 2.304 -6.101 1.834" Properties=species:S:1:pos:R:3 pbc="T T T"
Cl 0.552 -4.628 -0.249
Te 1.655 -13.885 -0.747
Br 0.037 -0.311 -0.017
Br 1.066 -8.946 -0.481
```

Results
Formation energy without anion corrections   0.09 eV/atom
Excess energy over the best structure of this formula in the dataset   0.428 eV per atom


# 19
Below is TeBr2Cl after structural relaxation, with properties calculated at the PBE-GGA level.

Cell and atoms, written as extended XYZ:
```
16
Lattice="-1.773 1.265 5.914 6.896 -3.554 2.828 5.450 10.144 -0.536" Properties=species:S:1:pos:R:3 pbc="T T T"
Cl 5.449 7.171 5.139
Cl 6.173 0.321 6.818
Br 8.848 7.562 2.784
Te 5.674 2.834 7.811
Cl 4.400 7.534 1.389
Cl 5.124 0.684 3.067
Br 3.638 3.947 5.353
Br 9.848 7.216 6.378
Br 2.711 4.241 1.515
Te 4.899 5.021 0.396
Br 0.725 0.639 1.829
Te 4.735 -1.196 5.033
Br 6.935 3.908 2.854
Te 5.838 9.051 3.173
Br 1.725 0.293 5.422
Br 7.862 3.614 6.692
```

Results
Formation energy without anion corrections   -0.34 eV/atom
Excess energy over the best structure of this formula in the dataset   0.000 eV per atom


# 20
Below is Te2BrCl after structural relaxation, with properties calculated at the PBE-GGA level.

Cell and atoms, written as extended XYZ:
```
8
Lattice="-6.586 3.360 4.215 -4.892 -0.932 -6.901 -6.600 -1.738 -0.334" Properties=species:S:1:pos:R:3 pbc="T T T"
Br 0.000 0.000 0.000
Cl -5.739 1.214 -1.343
Te -15.002 0.820 -2.614
Te -9.245 -0.391 -1.245
Te -6.390 1.555 1.696
Te -5.519 -0.603 -3.878
Cl -8.616 -0.728 -4.289
Br -9.462 1.418 1.269
```

Results
Formation energy without anion corrections   0.32 eV/atom
Excess energy over the best structure of this formula in the dataset   0.585 eV per atom


# 21
Below is TeBr2Cl after structural relaxation, with properties calculated at the PBE-GGA level.

Cell and atoms, written as extended XYZ:
```
4
Lattice="4.047 0.000 0.000 0.000 4.020 0.000 0.000 0.000 8.722" Properties=species:S:1:pos:R:3 pbc="T T T"
Te 0.000 2.010 4.361
Br 0.000 0.000 0.000
Cl 2.024 0.000 4.361
Br 2.024 2.010 0.000
```

Results
Formation energy without anion corrections   0.24 eV/atom
Excess energy over the best structure of this formula in the dataset   0.579 eV per atom


# 22
Below is TeBr2Cl after structural relaxation, with properties calculated at the PBE-GGA level.

Cell and atoms, written as extended XYZ:
```
4
Lattice="-4.574 0.537 1.476 1.713 -2.584 -3.711 0.807 -6.403 4.830" Properties=species:S:1:pos:R:3 pbc="T T T"
Te -0.825 -5.826 2.505
Br 0.792 -6.285 4.741
Br 0.418 -3.320 2.504
Cl -1.229 -2.624 0.090
```

Results
Formation energy without anion corrections   0.03 eV/atom
Excess energy over the best structure of this formula in the dataset   0.373 eV per atom


# 23
Below is TeBrCl3 after structural relaxation, with properties calculated at the PBE-GGA level.

Cell and atoms, written as extended XYZ:
```
5
Lattice="5.280 0.000 0.000 0.000 5.280 0.000 0.000 0.000 5.280" Properties=species:S:1:pos:R:3 pbc="T T T"
Te 0.000 0.000 0.000
Cl 0.000 0.000 2.640
Cl 2.640 0.000 0.000
Br 2.640 2.640 2.640
Cl 0.000 2.640 0.000
```

Results
Formation energy without anion corrections   -0.07 eV/atom
Excess energy over the best structure of this formula in the dataset   0.445 eV per atom


# 24
Below is TeBrCl3 after structural relaxation, with properties calculated at the PBE-GGA level.

Cell and atoms, written as extended XYZ:
```
20
Lattice="7.618 0.000 0.000 0.000 7.618 0.000 0.000 0.000 13.048" Properties=species:S:1:pos:R:3 pbc="T T T"
Cl 2.493 3.740 11.412
Cl 0.840 2.891 8.414
Te 4.891 6.534 6.361
Cl 6.237 0.043 4.516
Cl 3.878 2.493 1.627
Cl 2.891 6.777 5.152
Br 2.994 6.582 1.150
Cl 3.740 5.125 8.151
Te 1.084 4.891 9.623
Te 6.534 2.726 3.099
Cl 5.125 3.878 4.889
Br 6.582 4.624 10.936
Cl 7.575 6.237 7.778
Br 4.624 1.036 7.674
Cl 4.727 0.840 11.676
Cl 0.043 1.381 1.254
Te 2.726 1.084 12.885
Cl 1.381 7.575 11.039
Br 1.036 2.994 4.412
Cl 6.777 4.727 1.890
```

Results
Formation energy without anion corrections   -0.52 eV/atom
Excess energy over the best structure of this formula in the dataset   0.000 eV per atom


# 25
Below is Te2BrCl after structural relaxation, with properties calculated at the PBE-GGA level.

Cell and atoms, written as extended XYZ:
```
4
Lattice="-0.509 10.031 3.350 -2.116 8.462 6.002 1.353 8.658 5.943" Properties=species:S:1:pos:R:3 pbc="T T T"
Te -0.113 2.406 1.355
Br 0.000 0.000 0.000
Cl -0.637 13.575 7.648
Te -1.160 24.745 13.940
```

Results
Formation energy without anion corrections   0.10 eV/atom
Excess energy over the best structure of this formula in the dataset   0.363 eV per atom


# 26
Below is Te2BrCl after structural relaxation, with properties calculated at the PBE-GGA level.

Cell and atoms, written as extended XYZ:
```
4
Lattice="-0.772 3.207 0.908 -6.185 -1.081 -1.444 -0.813 -1.499 4.604" Properties=species:S:1:pos:R:3 pbc="T T T"
Cl -3.499 -1.290 1.580
Te -3.479 1.063 -0.268
Br -0.793 0.854 2.756
Te 0.000 0.000 0.000
```

Results
Formation energy without anion corrections   0.16 eV/atom
Excess energy over the best structure of this formula in the dataset   0.417 eV per atom


# 27
Below is TeBr2Cl after structural relaxation, with properties calculated at the PBE-GGA level.

Cell and atoms, written as extended XYZ:
```
4
Lattice="7.734 0.190 -0.015 4.940 5.954 0.015 -5.852 -4.073 3.003" Properties=species:S:1:pos:R:3 pbc="T T T"
Br 7.585 3.677 0.000
Cl 2.713 2.476 1.509
Br 11.426 5.539 0.000
Te 4.110 -0.405 1.494
```

Results
Formation energy without anion corrections   -0.08 eV/atom
Excess energy over the best structure of this formula in the dataset   0.260 eV per atom


# 28
Below is TeBr2Cl after structural relaxation, with properties calculated at the PBE-GGA level.

Cell and atoms, written as extended XYZ:
```
4
Lattice="-4.819 -1.910 0.039 -3.575 1.920 -3.225 -1.691 -2.849 -3.987" Properties=species:S:1:pos:R:3 pbc="T T T"
Cl 0.000 0.000 0.000
Te -5.042 -1.419 -3.587
Br -7.564 -2.129 -5.380
Br -2.521 -0.710 -1.793
```

Results
Formation energy without anion corrections   0.27 eV/atom
Excess energy over the best structure of this formula in the dataset   0.613 eV per atom